[1]
Entry from Alexandria via LeMat-Bulk: an optimized crystal structure of BiSb2AuBr (PBE).

Cell: 5.613 5.613 5.060 Å, 90.00 90.00 90.00°
Positions (direct):
Bi 0.000 0.000 0.000
Sb 0.000 0.500 0.500
Sb 0.500 0.000 0.500
Au 0.500 0.500 0.000
Br 0.500 0.500 0.500

Computed properties:
E_form (uncorrected), meV per atom: 755

---

[2]
Entry from Alexandria via LeMat-Bulk: an optimized crystal structure of LaY2Er (PBE).

Cell: 6.793 6.793 12.664 Å, 117.45 117.45 31.36°
Positions (direct):
La 0.123 0.123 0.474
La 0.877 0.877 0.526
Y 0.368 0.368 0.264
Y 0.382 0.382 0.781
Y 0.618 0.618 0.219
Y 0.632 0.632 0.736
Er 0.127 0.127 0.981
Er 0.873 0.873 0.019

Computed properties:
Energy of formation from the pure elements, eV/atom: 0.0188
Relative energy among the computed polymorphs, eV per atom: 0.0126

---

[3]
Entry from Alexandria via LeMat-Bulk: an optimized crystal structure of Sm8AlSn6 (PBE).

Cell: 8.340 8.340 8.340 Å, 67.80 67.80 67.80°
Positions (direct):
Sm 0.130 0.396 0.682
Sm 0.168 0.168 0.168
Sm 0.318 0.870 0.604
Sm 0.396 0.682 0.130
Sm 0.604 0.318 0.870
Sm 0.682 0.130 0.396
Sm 0.832 0.832 0.832
Sm 0.870 0.604 0.318
Al 0.500 0.500 0.500
Sn 0.058 0.795 0.431
Sn 0.205 0.569 0.942
Sn 0.431 0.058 0.795
Sn 0.569 0.942 0.205
Sn 0.795 0.431 0.058
Sn 0.942 0.205 0.569

Computed properties:
Energy of formation from the pure elements, eV/atom: -0.5442

---

[4]
Entry from Alexandria via LeMat-Bulk: an optimized crystal structure of MnTc2B (PBE).

Cell: 7.735 7.735 7.735 Å, 21.42 21.42 21.42°
Positions (direct):
Mn 0.000 0.000 0.000
Tc 0.108 0.108 0.108
Tc 0.892 0.892 0.892
B 0.500 0.500 0.500

Computed properties:
Energy of formation from the pure elements, eV/atom: 0.4108

---

[5]
Entry from Alexandria via LeMat-Bulk: an optimized crystal structure of Pm5Nd4In4 (PBE).

Cell: 9.216 9.216 9.216 Å, 94.68 94.68 146.80°
Positions (direct):
Pm 0.000 0.000 0.000
Pm 0.313 0.596 0.908
Pm 0.404 0.313 0.717
Pm 0.596 0.687 0.283
Pm 0.687 0.404 0.092
Nd 0.097 0.383 0.479
Nd 0.383 0.903 0.286
Nd 0.617 0.097 0.714
Nd 0.903 0.617 0.521
In 0.113 0.769 0.882
In 0.231 0.113 0.344
In 0.769 0.887 0.656
In 0.887 0.231 0.118

Computed properties:
Energy of formation from the pure elements, eV/atom: -0.3119

---

[6]
Entry from Alexandria via LeMat-Bulk: an optimized crystal structure of NdPuZn17 (PBE).

Cell: 6.833 6.833 6.833 Å, 82.67 82.67 82.67°
Positions (direct):
Nd 0.000 0.000 0.000
Pu 0.330 0.330 0.330
Zn 0.019 0.019 0.501
Zn 0.019 0.501 0.019
Zn 0.165 0.665 0.665
Zn 0.314 0.314 0.823
Zn 0.314 0.823 0.314
Zn 0.370 0.664 0.960
Zn 0.370 0.960 0.664
Zn 0.501 0.019 0.019
Zn 0.564 0.564 0.564
Zn 0.664 0.370 0.960
Zn 0.664 0.960 0.370
Zn 0.665 0.165 0.665
Zn 0.665 0.665 0.165
Zn 0.763 0.763 0.763
Zn 0.823 0.314 0.314
Zn 0.960 0.370 0.664
Zn 0.960 0.664 0.370

Computed properties:
Energy of formation from the pure elements, eV/atom: -0.1984

---

[7]
Entry from Alexandria via LeMat-Bulk: an optimized crystal structure of ZrTi2Pd (PBE).

Cell: 4.074 4.074 4.309 Å, 90.00 90.00 90.00°
Positions (direct):
Zr 0.000 0.000 0.000
Ti 0.000 0.500 0.500
Ti 0.500 0.000 0.500
Pd 0.500 0.500 0.000

Computed properties:
Energy of formation from the pure elements, eV/atom: -0.1906

---

[8]
Entry from Alexandria via LeMat-Bulk: an optimized crystal structure of La2Pr2Y3 (PBE).

Cell: 6.359 6.359 8.154 Å, 97.65 97.65 48.30°
Positions (direct):
La 0.143 0.143 0.428
La 0.857 0.857 0.572
Pr 0.428 0.428 0.282
Pr 0.572 0.572 0.718
Y 0.000 0.000 0.000
Y 0.285 0.285 0.861
Y 0.715 0.715 0.139

Computed properties:
Energy of formation from the pure elements, eV/atom: 0.0208
Relative energy among the computed polymorphs, eV per atom: 0.0000